# Sr3Ag2Hg9 (GGA-PBE, relaxed)
# - N(E_F): 11.92 states/eV/cell
# - Electronic total energy: -1.28 eV/atom
# - Total magnetic moment: 0.0 μB/f.u.
# - ΔE_f: -315.2 meV per atom
data_Sr3Ag2Hg9
_chemical_formula_sum 'Sr6 Ag4 Hg18'
_symmetry_space_group_name_H-M 'I m m m'
_symmetry_Int_Tables_number 71
_symmetry_space_group_name_Hall '-I 2 2'
_cell_length_a 4.755
_cell_length_b 11.140
_cell_length_c 14.217
_cell_angle_alpha 90.00
_cell_angle_beta 90.00
_cell_angle_gamma 90.00
loop_
_atom_site_label
_atom_site_type_symbol
_atom_site_fract_x
_atom_site_fract_y
_atom_site_fract_z
_atom_site_occupancy
Sr1 Sr 0.000 0.000 0.000 1
Sr2 Sr 0.000 0.000 0.308 1
Ag1 Ag 0.000 0.196 0.500 1
Hg1 Hg 0.000 0.285 0.133 1
Hg2 Hg 0.000 0.368 0.341 1
Hg3 Hg 0.000 0.500 0.000 1

---

# SrAg2Hg3 (GGA-PBE, relaxed)
# - N(E_F): 5.46 states/eV/cell
# - Electronic total energy: -1.58 eV/atom
# - Total magnetic moment: 0.0 μB/f.u.
# - ΔE_f: -203.2 meV per atom
data_SrAg2Hg3
_chemical_formula_sum 'Sr2 Ag4 Hg6'
_symmetry_space_group_name_H-M 'P 63/m m c'
_symmetry_Int_Tables_number 194
_symmetry_space_group_name_Hall '-P 6c 2c'
_cell_length_a 4.9528
_cell_length_b 4.9528
_cell_length_c 14.0079
_cell_angle_alpha 90.00
_cell_angle_beta 90.00
_cell_angle_gamma 120.00
loop_
_atom_site_label
_atom_site_type_symbol
_atom_site_fract_x
_atom_site_fract_y
_atom_site_fract_z
_atom_site_occupancy
Sr1 Sr 0.0000 0.0000 0.2500 1
Ag1 Ag 0.3333 0.6667 0.0946 1
Hg1 Hg 0.0000 0.0000 0.0000 1
Hg2 Hg 0.3333 0.6667 0.6241 1

---

# SrAgHg2 (GGA-PBE, relaxed)
# - N(E_F): 1.08 states/eV/cell
# - Electronic total energy: -1.55 eV/atom
# - Total magnetic moment: 0.0 μB/f.u.
# - ΔE_f: -267.7 meV per atom
data_SrAgHg2
_chemical_formula_sum 'Sr1 Ag1 Hg2'
_symmetry_space_group_name_H-M 'P 1 2/m 1'
_symmetry_Int_Tables_number 10
_cell_length_a 3.841
_cell_length_b 4.934
_cell_length_c 6.005
_cell_angle_alpha 90.00
_cell_angle_beta 90.17
_cell_angle_gamma 90.00
loop_
_symmetry_equiv_pos_as_xyz
'x,y,z'
'-x,-y,-z'
'-x,y,-z'
'x,-y,z'
loop_
_atom_site_label
_atom_site_type_symbol
_atom_site_fract_x
_atom_site_fract_y
_atom_site_fract_z
_atom_site_occupancy
Sr1 Sr 0.000 0.000 0.000 1
Ag1 Ag 0.500 0.000 0.500 1
Hg1 Hg 0.497 0.500 0.747 1

---

# Sr3Ag2Hg (GGA-PBE, relaxed)
# - N(E_F): 10.97 states/eV/cell
# - Electronic total energy: -2.19 eV/atom
# - Total magnetic moment: 0.0 μB/f.u.
# - ΔE_f: -348.5 meV per atom
data_Sr3Ag2Hg
_chemical_formula_sum 'Sr6 Ag4 Hg2'
_symmetry_space_group_name_H-M 'C m m m'
_symmetry_Int_Tables_number 65
_symmetry_space_group_name_Hall '-C 2 2'
_cell_length_a 5.616
_cell_length_b 16.871
_cell_length_c 3.924
_cell_angle_alpha 90.00
_cell_angle_beta 90.00
_cell_angle_gamma 90.00
loop_
_atom_site_label
_atom_site_type_symbol
_atom_site_fract_x
_atom_site_fract_y
_atom_site_fract_z
_atom_site_occupancy
Sr1 Sr 0.000 0.000 0.000 1
Sr2 Sr 0.000 0.332 0.000 1
Ag1 Ag 0.000 0.166 0.500 1
Hg1 Hg 0.000 0.500 0.500 1

---

# SrAgHg2 (GGA-PBE, relaxed)
# - N(E_F): 1.55 states/eV/cell
# - Electronic total energy: -1.55 eV/atom
# - Total magnetic moment: 0.0 μB/f.u.
# - ΔE_f: -261.5 meV per atom
data_SrAgHg2
_chemical_formula_sum 'Sr1 Ag1 Hg2'
_symmetry_space_group_name_H-M 'P m m 2'
_symmetry_Int_Tables_number 25
_cell_length_a 3.862
_cell_length_b 4.925
_cell_length_c 5.986
_cell_angle_alpha 90.00
_cell_angle_beta 90.00
_cell_angle_gamma 90.00
loop_
_symmetry_equiv_pos_as_xyz
'x,y,z'
'-x,-y,z'
'-x,y,z'
'x,-y,z'
loop_
_atom_site_label
_atom_site_type_symbol
_atom_site_fract_x
_atom_site_fract_y
_atom_site_fract_z
_atom_site_occupancy
Sr1 Sr 0.000 0.000 0.000 1
Ag1 Ag 0.500 0.500 0.761 1
Hg1 Hg 0.500 0.000 0.518 1
Hg2 Hg 0.500 0.500 0.249 1

---

# Sr5AgHg (GGA-PBE, relaxed)
# - N(E_F): 13.87 states/eV/cell
# - Electronic total energy: -1.87 eV/atom
# - Total magnetic moment: 0.0 μB/f.u.
# - ΔE_f: -215.9 meV per atom
data_Sr5AgHg
_chemical_formula_sum 'Sr10 Ag2 Hg2'
_symmetry_space_group_name_H-M 'P 1 21/m 1'
_symmetry_Int_Tables_number 11
_cell_length_a 8.933
_cell_length_b 4.458
_cell_length_c 15.272
_cell_angle_alpha 90.00
_cell_angle_beta 92.86
_cell_angle_gamma 90.00
loop_
_symmetry_equiv_pos_as_xyz
'x,y,z'
'-x,-y,-z'
'-x,y+1/2,-z'
'x,-y+1/2,z'
loop_
_atom_site_label
_atom_site_type_symbol
_atom_site_fract_x
_atom_site_fract_y
_atom_site_fract_z
_atom_site_occupancy
Sr1 Sr 0.059 0.250 0.183 1
Sr2 Sr 0.145 0.750 0.569 1
Sr3 Sr 0.303 0.750 0.005 1
Sr4 Sr 0.326 0.250 0.770 1
Sr5 Sr 0.369 0.250 0.382 1
Ag1 Ag 0.075 0.750 0.346 1
Hg1 Hg 0.427 0.250 0.156 1

---

# SrAgHg2 (GGA-PBE, relaxed)
# - N(E_F): 2.71 states/eV/cell
# - Electronic total energy: -1.55 eV/atom
# - Total magnetic moment: 0.0 μB/f.u.
# - ΔE_f: -264.7 meV per atom
data_SrAgHg2
_chemical_formula_sum 'Sr1 Ag1 Hg2'
_symmetry_space_group_name_H-M 'P 4/m m m'
_symmetry_Int_Tables_number 123
_symmetry_space_group_name_Hall '-P 4 2'
_cell_length_a 4.748
_cell_length_b 4.748
_cell_length_c 4.798
_cell_angle_alpha 90.00
_cell_angle_beta 90.00
_cell_angle_gamma 90.00
loop_
_atom_site_label
_atom_site_type_symbol
_atom_site_fract_x
_atom_site_fract_y
_atom_site_fract_z
_atom_site_occupancy
Sr1 Sr 0.000 0.000 0.000 1
Ag1 Ag 0.500 0.500 0.000 1
Hg1 Hg 0.000 0.500 0.500 1

---

# SrAg2Hg2 (GGA-PBE, relaxed)
# - N(E_F): 3.71 states/eV/cell
# - Electronic total energy: -1.73 eV/atom
# - Total magnetic moment: 0.0 μB/f.u.
# - Energy above the lowest structure with this stoichiometry: 100.6 meV/atom
# - ΔE_f: -131.5 meV per atom
data_SrAg2Hg2
_chemical_formula_sum 'Sr2 Ag4 Hg4'
_symmetry_space_group_name_H-M 'P 4/m b m'
_symmetry_Int_Tables_number 127
_symmetry_space_group_name_Hall '-P 4 2ab'
_cell_length_a 8.114
_cell_length_b 8.114
_cell_length_c 3.755
_cell_angle_alpha 90.00
_cell_angle_beta 90.00
_cell_angle_gamma 90.00
loop_
_atom_site_label
_atom_site_type_symbol
_atom_site_fract_x
_atom_site_fract_y
_atom_site_fract_z
_atom_site_occupancy
Sr1 Sr 0.000 0.000 0.000 1
Ag1 Ag 0.122 0.378 0.000 1
Hg1 Hg 0.173 0.673 0.500 1

---

# Sr3Ag4Hg4 (GGA-PBE, relaxed)
# - N(E_F): 12.25 states/eV/cell
# - Electronic total energy: -1.92 eV/atom
# - Total magnetic moment: 0.0 μB/f.u.
# - ΔE_f: -311.0 meV per atom
data_Sr3Ag4Hg4
_chemical_formula_sum 'Sr6 Ag8 Hg8'
_symmetry_space_group_name_H-M 'C 1 2/m 1'
_symmetry_Int_Tables_number 12
_cell_length_a 30.142
_cell_length_b 4.093
_cell_length_c 4.958
_cell_angle_alpha 90.00
_cell_angle_beta 99.30
_cell_angle_gamma 90.00
loop_
_symmetry_equiv_pos_as_xyz
'x,y,z'
'-x,-y,-z'
'-x,y,-z'
'x,-y,z'
'x+1/2,y+1/2,z'
'-x+1/2,-y+1/2,-z'
'-x+1/2,y+1/2,-z'
'x+1/2,-y+1/2,z'
loop_
_atom_site_label
_atom_site_type_symbol
_atom_site_fract_x
_atom_site_fract_y
_atom_site_fract_z
_atom_site_occupancy
Sr1 Sr 0.000 0.000 0.000 1
Sr2 Sr 0.143 0.000 0.643 1
Ag1 Ag 0.047 0.500 0.548 1
Ag2 Ag 0.188 0.500 0.190 1
Hg1 Hg 0.094 0.500 0.093 1
Hg2 Hg 0.239 0.500 0.741 1

---

# Sr4AgHg2 (GGA-PBE, relaxed)
# - N(E_F): 14.82 states/eV/cell
# - Electronic total energy: -1.67 eV/atom
# - Total magnetic moment: 0.0 μB/f.u.
# - Energy above the lowest structure with this stoichiometry: 133.7 meV/atom
# - ΔE_f: -211.6 meV per atom
data_Sr4AgHg2
_chemical_formula_sum 'Sr8 Ag2 Hg4'
_symmetry_space_group_name_H-M 'I 4/m m m'
_symmetry_Int_Tables_number 139
_symmetry_space_group_name_Hall '-I 4 2'
_cell_length_a 6.056
_cell_length_b 6.056
_cell_length_c 16.146
_cell_angle_alpha 90.00
_cell_angle_beta 90.00
_cell_angle_gamma 90.00
loop_
_atom_site_label
_atom_site_type_symbol
_atom_site_fract_x
_atom_site_fract_y
_atom_site_fract_z
_atom_site_occupancy
Sr1 Sr 0.000 0.000 0.198 1
Sr2 Sr 0.000 0.500 0.000 1
Ag1 Ag 0.000 0.000 0.000 1
Hg1 Hg 0.000 0.000 0.401 1

---

# Sr5Ag2Hg2 (GGA-PBE, relaxed)
# - N(E_F): 25.64 states/eV/cell
# - Electronic total energy: -2.00 eV/atom
# - Total magnetic moment: 0.0 μB/f.u.
# - ΔE_f: -369.0 meV per atom
data_Sr5Ag2Hg2
_chemical_formula_sum 'Sr20 Ag8 Hg8'
_symmetry_space_group_name_H-M 'C m c e'
_symmetry_Int_Tables_number 64
_symmetry_space_group_name_Hall '-C 2ac 2'
_cell_length_a 17.130
_cell_length_b 8.550
_cell_length_c 8.644
_cell_angle_alpha 90.00
_cell_angle_beta 90.00
_cell_angle_gamma 90.00
loop_
_atom_site_label
_atom_site_type_symbol
_atom_site_fract_x
_atom_site_fract_y
_atom_site_fract_z
_atom_site_occupancy
Sr1 Sr 0.000 0.000 0.000 1
Sr2 Sr 0.137 0.173 0.331 1
Ag1 Ag 0.000 0.119 0.620 1
Hg1 Hg 0.205 0.000 0.000 1

---

What is the formula in the sixth record? Sr5AgHg

---

total magnetic moment of number 9 (Sr3Ag4Hg4)? 0.0 μB/f.u.

---

Among the records above, which one has the lowest ΔE_f? Sr5Ag2Hg2